A plane-wave DFT calculation with PBE was carried out for a relaxed AcTb3YHo crystal.

Geometry as extended XYZ:
```
12
Lattice="11.589 -2.710 0.000 11.589 2.710 0.000 -1.002 0.000 6.920" Properties=species:S:1:pos:R:3 pbc="T T T"
Ac 2.467 0.000 3.344
Ac 19.709 0.000 3.576
Tb -0.287 0.000 5.418
Tb 5.670 0.000 4.777
Tb 7.184 0.000 1.499
Tb 14.991 0.000 5.421
Tb 16.506 0.000 2.143
Tb 22.463 0.000 1.502
Y 8.956 0.000 6.140
Y 13.220 0.000 0.780
Ho 3.864 0.000 0.158
Ho 18.311 0.000 6.762
```

Calculated values
As for the density of states at the Fermi level: 10.2 states/eV/f.u. Its total energy is -4.618 eV per atom. As for the space group: C2/m (12). Its calculated volume is 36.22 A^3/atom.